The following is a PBE calculation of an optimized crystal structure of Al2Cu2Ag, from the Alexandria database.

Total magnetization (μB per formula unit): 0.00
Electronic total energy (eV per atom): -3.78
ΔE to the lowest computed polymorph (meV per atom): 24
Space group: P4/mbm (127)

Cell: 7.3055 7.3055 2.7706 Å, 90.00 90.00 90.00°
Last column: nearest neighbours and their distance in Å.
Atoms (fractional coordinates):
Al 0.1305 0.3695 0.0000  6 Cu 2.51-2.59, 3 Al 2.70-2.77
Al 0.3695 0.8695 0.0000  6 Cu 2.51-2.59, 3 Al 2.70-2.77
Al 0.6305 0.1305 0.0000  6 Cu 2.51-2.59, 3 Al 2.70-2.77
Al 0.8695 0.6305 0.0000  6 Cu 2.51-2.59, 3 Al 2.70-2.77
Cu 0.1674 0.6674 0.5000  6 Al 2.51-2.59, 2 Cu 2.77
Cu 0.3326 0.1674 0.5000  6 Al 2.51-2.59, 2 Cu 2.77
Cu 0.6674 0.8326 0.5000  6 Al 2.51-2.59, 2 Cu 2.77
Cu 0.8326 0.3326 0.5000  6 Al 2.51-2.59, 2 Cu 2.77
Ag 0.0000 0.0000 0.0000  2 Ag 2.77, 4 Al 2.86, 8 Cu 3.05
Ag 0.5000 0.5000 0.0000  2 Ag 2.77, 4 Al 2.86, 8 Cu 3.05